Material: Sc2TaRu
Method: DFT, PBE
State: relaxed

Unit cell a=5.6351 b=5.6351 c=5.6351 alpha=146.61 beta=130.86 gamma=60.72
Last column: nearest neighbours and their distance in Å.
Fractional positions:
Sc: 0.2194 0.2194 0.0000  2 Ru 2.68, 4 Sc 2.91
Sc: 0.7806 0.7806 0.0000  2 Ru 2.68, 4 Sc 2.91
Ta: 0.5000 0.0000 0.5000  4 Ru 2.85, 8 Sc 3.17
Ru: 0.0000 0.5000 0.5000  4 Sc 2.68, 4 Ta 2.85

## Properties
The formation energy is -18 kJ/mol of atoms. Its energy above the most stable polymorph in this dataset is 78 meV/atom. For the theoretical density, the calculation gives 8.371 g/cm3.

Material: ScTaRu2
Method: DFT, PBE
State: relaxed

Unit cell a=3.5061 b=3.5061 c=5.5758 alpha=90.00 beta=90.00 gamma=90.00
Last column: nearest neighbours and their distance in Å.
Fractional positions:
Sc: 0.0000 0.0000 0.0000  6 Ru 2.62-2.80
Ta: 0.5000 0.5000 0.3314  6 Ru 2.65-2.89
Ru: 0.0000 0.0000 0.4979  4 Ta 2.65, 2 Sc 2.78-2.80
Ru: 0.5000 0.5000 0.8504  4 Sc 2.62, 2 Ta 2.68-2.89

## Properties
The formation energy is -8 kJ/mol of atoms. Its energy above the most stable polymorph in this dataset is 541 meV/atom. For the theoretical density, the calculation gives 10.370 g/cm3.

Material: ScTaRu3
Method: DFT, PBE
State: relaxed

Unit cell a=4.6929 b=4.6929 c=4.6929 alpha=90.00 beta=90.00 gamma=90.00
Last column: nearest neighbours and their distance in Å.
Fractional positions:
Sc: 0.0000 0.0000 0.0000  12 Ru 3.32
Ta: 0.5000 0.5000 0.5000  6 Ru 2.35
Ru: 0.0000 0.5000 0.5000  2 Ta 2.35
Ru: 0.5000 0.0000 0.5000  2 Ta 2.35
Ru: 0.5000 0.5000 0.0000  2 Ta 2.35

## Properties
The formation energy is 81 kJ/mol of atoms. Its energy above the most stable polymorph in this dataset is 0 meV/atom. For the theoretical density, the calculation gives 8.501 g/cm3.

Material: ScTa2Ru2
Method: DFT, PBE
State: relaxed

Unit cell a=7.7125 b=7.7125 c=2.9498 alpha=90.00 beta=90.00 gamma=90.00
Last column: nearest neighbours and their distance in Å.
Fractional positions:
Sc: 0.0000 0.0000 0.0000  2 Sc 2.95, 4 Ta 2.95, 8 Ru 3.28
Sc: 0.5000 0.5000 0.0000  2 Sc 2.95, 4 Ta 2.95, 8 Ru 3.28
Ta: 0.1457 0.3543 0.0000  6 Ru 2.67-2.72, 2 Ta 2.95, 2 Sc 2.95
Ta: 0.3543 0.8543 0.0000  6 Ru 2.67-2.72, 2 Ta 2.95, 2 Sc 2.95
Ta: 0.6457 0.1457 0.0000  6 Ru 2.67-2.72, 2 Ta 2.95, 2 Sc 2.95
Ta: 0.8543 0.6457 0.0000  6 Ru 2.67-2.72, 2 Ta 2.95, 2 Sc 2.95
Ru: 0.1506 0.6506 0.5000  6 Ta 2.67-2.72, 2 Ru 2.95
Ru: 0.3494 0.1506 0.5000  6 Ta 2.67-2.72, 2 Ru 2.95
Ru: 0.6506 0.8494 0.5000  6 Ta 2.67-2.72, 2 Ru 2.95
Ru: 0.8494 0.3494 0.5000  6 Ta 2.67-2.72, 2 Ru 2.95

## Properties
The formation energy is -17 kJ/mol of atoms. Its energy above the most stable polymorph in this dataset is 264 meV/atom. For the theoretical density, the calculation gives 11.527 g/cm3.

Material: ScTa2Ru
Method: DFT, PBE
State: relaxed

Unit cell a=5.4007 b=5.4007 c=2.9304 alpha=99.55 beta=99.55 gamma=119.94
Last column: nearest neighbours and their distance in Å.
Fractional positions:
Sc: 0.0000 0.0000 0.0000  2 Ru 2.70, 4 Ta 2.85, 2 Sc 2.93
Ta: 0.0000 0.5000 0.5000  4 Ta 2.70-2.93, 2 Ru 2.85, 2 Sc 2.85
Ta: 0.5000 0.0000 0.5000  4 Ta 2.70-2.93, 2 Ru 2.85, 2 Sc 2.85
Ru: 0.5000 0.5000 0.0000  2 Sc 2.70, 4 Ta 2.85, 2 Ru 2.93

## Properties
The formation energy is -4 kJ/mol of atoms. For the theoretical density, the calculation gives 12.070 g/cm3.

Material: ScTa2Ru
Method: DFT, PBE
State: relaxed

Unit cell a=4.6002 b=4.6002 c=4.6002 alpha=60.00 beta=60.00 gamma=60.00
Last column: nearest neighbours and their distance in Å.
Fractional positions:
Sc: 0.0000 0.0000 0.0000  8 Ta 2.82
Ta: 0.2500 0.2500 0.2500  4 Ru 2.82, 4 Sc 2.82
Ta: 0.7500 0.7500 0.7500  4 Ru 2.82, 4 Sc 2.82
Ru: 0.5000 0.5000 0.5000  8 Ta 2.82

## Properties
The formation energy is 0 kJ/mol of atoms. For the theoretical density, the calculation gives 12.253 g/cm3.

Material: ScTa3Ru
Method: DFT, PBE
State: relaxed

Unit cell a=4.8276 b=4.8276 c=4.8276 alpha=90.00 beta=90.00 gamma=90.00
Last column: nearest neighbours and their distance in Å.
Fractional positions:
Sc: 0.0000 0.0000 0.0000  12 Ta 3.41
Ta: 0.0000 0.5000 0.5000  2 Ru 2.41
Ta: 0.5000 0.0000 0.5000  2 Ru 2.41
Ta: 0.5000 0.5000 0.0000  2 Ru 2.41
Ru: 0.5000 0.5000 0.5000  6 Ta 2.41

## Properties
The formation energy is 83 kJ/mol of atoms. Its energy above the most stable polymorph in this dataset is 0 meV/atom. For the theoretical density, the calculation gives 10.167 g/cm3.

Material: Sc2TaRu
Method: DFT, PBE
State: relaxed

Unit cell a=3.0890 b=4.3101 c=5.5993 alpha=90.00 beta=90.00 gamma=90.00
Last column: nearest neighbours and their distance in Å.
Fractional positions:
Sc: 0.0000 0.0000 0.0000  1 Ta 2.61
Sc: 0.5000 0.5000 0.2732  1 Ru 2.58
Ta: 0.0000 0.0000 0.5347  1 Sc 2.61, 4 Ru 2.88
Ru: 0.5000 0.5000 0.7347  1 Sc 2.58, 4 Ta 2.88

## Properties
The formation energy is 3 kJ/mol of atoms. Its energy above the most stable polymorph in this dataset is 296 meV/atom. For the theoretical density, the calculation gives 8.285 g/cm3.